1.
A plane-wave DFT calculation with GGA-PBE was carried out for NbGaNiPd after structural relaxation.

- formation enthalpy at 0 K (eV/atom) = -0.31
- size of the total moment (μB per cell) = 0.00

abc: 6.1999 6.1999 6.1999
angles: 90.00 90.00 90.00
Closest atoms and distances in Å follow each position.
Space group F-43m (No. 216)
Symmetry-distinct sites (fractional):
Nb (0.0000, 0.0000, 0.0000) [4 per cell]  4 Pd 2.68, 4 Ni 2.68
Ga (0.0000, 0.0000, 0.5000) [4 per cell]  4 Ni 2.68, 4 Pd 2.68
Ni (0.2500, 0.2500, 0.7500) [4 per cell]  4 Nb 2.68, 4 Ga 2.68
Pd (0.2500, 0.2500, 0.2500) [4 per cell]  4 Nb 2.68, 4 Ga 2.68

2.
A plane-wave DFT calculation with GGA-PBE was carried out for LiHo2Ga6 after structural relaxation.

- formation enthalpy at 0 K (eV/atom) = -0.45
- size of the total moment (μB per cell) = 0.00

abc: 7.6768 7.6768 3.4405
angles: 90.00 90.00 120.00
Closest atoms and distances in Å follow each position.
Space group P6/mmm (No. 191)
Symmetry-distinct sites (fractional):
Li (0.0000, 0.0000, 0.0000) [1 per cell]  12 Ga 3.06
Ho (0.3333, 0.6667, 0.0000) [2 per cell]  12 Ga 3.10, 2 Ho 3.44
Ga (0.0000, 0.3294, 0.5000) [6 per cell]  3 Ga 2.53-2.62

3.
A plane-wave DFT calculation with GGA-PBE was carried out for Nb2Pd9Au after structural relaxation.

- formation enthalpy at 0 K (eV/atom) = -0.35
- size of the total moment (μB per cell) = 0.00

abc: 3.9862 3.9862 11.9672
angles: 90.00 90.00 90.00
Closest atoms and distances in Å follow each position.
Space group P4/mmm (No. 123)
Symmetry-distinct sites (fractional):
Nb (0.0000, 0.0000, 0.1738) [2 per cell]  12 Pd 2.69-2.88
Pd (0.0000, 0.5000, 0.0000) [2 per cell]  8 Pd 2.78-2.82, 4 Nb 2.88
Pd (0.0000, 0.5000, 0.3247) [4 per cell]  2 Nb 2.69, 8 Pd 2.79-2.89, 2 Au 2.89
Pd (0.5000, 0.5000, 0.1614) [2 per cell]  8 Pd 2.78-2.79, 4 Nb 2.82
Pd (0.5000, 0.5000, 0.5000) [1 per cell]  4 Au 2.82, 8 Pd 2.89
Au (0.0000, 0.0000, 0.5000) [1 per cell]  12 Pd 2.82-2.89

4.
A plane-wave DFT calculation with GGA-PBE was carried out for Th3Al5H12 after structural relaxation.

- total DFT energy (no corrections) (eV/cell) = -650.35
- size of the total moment (μB per cell) = 0.00

abc: 12.2731 12.2731 12.2731
angles: 90.00 90.00 90.00
Closest atoms and distances in Å follow each position.
Space group Ia-3d (No. 230)
Symmetry-distinct sites (fractional):
Th (0.0000, 0.2500, 0.1250) [24 per cell]  8 H 2.35-2.38
Al (0.0000, 0.0000, 0.0000) [16 per cell]  6 H 1.85
Al (0.0000, 0.2500, 0.3750) [24 per cell]  4 H 2.03
H (0.0203, 0.0602, 0.6370) [96 per cell]  2 Al 1.85-2.03

What did the first record say?
A plane-wave DFT calculation with GGA-PBE was carried out for NbGaNiPd after structural relaxation.

- formation enthalpy at 0 K (eV/atom) = -0.31
- size of the total moment (μB per cell) = 0.00

abc: 6.1999 6.1999 6.1999
angles: 90.00 90.00 90.00
Closest atoms and distances in Å follow each position.
Space group F-43m (No. 216)
Symmetry-distinct sites (fractional):
Nb (0.0000, 0.0000, 0.0000) [4 per cell]  4 Pd 2.68, 4 Ni 2.68
Ga (0.0000, 0.0000, 0.5000) [4 per cell]  4 Ni 2.68, 4 Pd 2.68
Ni (0.2500, 0.2500, 0.7500) [4 per cell]  4 Nb 2.68, 4 Ga 2.68
Pd (0.2500, 0.2500, 0.2500) [4 per cell]  4 Nb 2.68, 4 Ga 2.68